(1)
First-principles (PBE) data for La5SmIr3 after structural relaxation, as listed in Alexandria via LeMat-Bulk.

ΔE_f: -5.5 eV per formula unit

a b c (Å): 12.921 9.645 10.529
angles (deg): 90.00 113.83 90.00
Space group C2/m (No. 12)
Unique sites:
La1 0.000 0.199 0.000 [4 per cell]
La2 0.065 0.000 0.368 [4 per cell]
La3 0.166 0.304 0.665 [8 per cell]
La4 0.232 0.500 0.037 [4 per cell]
Sm1 0.101 0.500 0.298 [4 per cell]
Ir1 0.000 0.500 0.000 [2 per cell]
Ir2 0.000 0.500 0.500 [2 per cell]
Ir3 0.166 0.000 0.166 [4 per cell]
Ir4 0.167 0.000 0.665 [4 per cell]

(2)
First-principles (PBE) data for La2Sm2Ir3 after structural relaxation, as listed in Alexandria via LeMat-Bulk.

ΔE_f: -4.8 eV per formula unit

a b c (Å): 8.883 8.883 8.883
angles (deg): 90.00 90.00 90.00
Space group I2_13 (No. 199)
Unique sites:
La1 0.061 0.061 0.061 [8 per cell]
Sm1 0.189 0.311 0.689 [8 per cell]
Ir1 0.000 0.250 0.392 [12 per cell]

(3)
First-principles (PBE) data for La2SmIr after structural relaxation, as listed in Alexandria via LeMat-Bulk.

ΔE_f: -1.3 eV per formula unit
Energy relative to the lowest polymorph listed for this composition: 58 kJ/mol of formula units

a b c (Å): 4.0914 4.0914 28.1649
angles (deg): 90.00 90.00 120.00
Space group R3m (No. 160, hexagonal axes)
Unique sites:
La1 0.0000 0.0000 0.0000 [3 per cell]
La2 0.0000 0.0000 0.2185 [3 per cell]
Sm1 0.0000 0.0000 0.4434 [3 per cell]
Ir1 0.0000 0.0000 0.6088 [3 per cell]

(4)
First-principles (PBE) data for LaSmIr2 after structural relaxation, as listed in Alexandria via LeMat-Bulk.

ΔE_f: -2.7 eV per formula unit
Energy relative to the lowest polymorph listed for this composition: 0 kJ/mol of formula units

a b c (Å): 4.235 4.052 10.964
angles (deg): 90.00 90.00 90.00
Space group Amm2 (No. 38)
Unique sites:
La1 0.000 0.000 0.000 [2 per cell]
Sm1 0.500 0.000 0.288 [2 per cell]
Ir1 0.000 0.000 0.726 [2 per cell]
Ir2 0.500 0.000 0.567 [2 per cell]

(5)
First-principles (PBE) data for La2SmIr after structural relaxation, as listed in Alexandria via LeMat-Bulk.

ΔE_f: -1.9 eV per formula unit
Energy relative to the lowest polymorph listed for this composition: 0 kJ/mol of formula units

a b c (Å): 7.410 10.115 6.513
angles (deg): 90.00 90.00 90.00
Space group Pnma (No. 62)
Unique sites:
La1 0.173 0.067 0.173 [8 per cell]
Sm1 0.037 0.250 0.653 [4 per cell]
Ir1 0.123 0.750 0.934 [4 per cell]

(6)
First-principles (PBE) data for LaSm8Ir6 after structural relaxation, as listed in Alexandria via LeMat-Bulk.

ΔE_f: -9.8 eV per formula unit

a b c (Å): 8.4588 8.4588 18.4956
angles (deg): 90.00 90.00 120.00
Space group R-3 (No. 148, hexagonal axes)
Unique sites:
La1 0.0000 0.0000 0.0000 [3 per cell]
Sm1 0.0000 0.0000 0.3355 [6 per cell]
Sm2 0.0036 0.3292 0.2210 [18 per cell]
Ir1 0.9997 0.3340 0.7246 [18 per cell]